Record 1
# ZnFe2Se

A relaxed structure of ZnFe2Se (PBE-GGA, Alexandria).

Cell and atoms, written as CIF:
```
data_ZnFe2Se
_space_group_name_H-M_alt 'P m m m'
_space_group_IT_number 47
_cell_length_a 3.456
_cell_length_b 3.856
_cell_length_c 4.224
_cell_angle_alpha 90.00
_cell_angle_beta 90.00
_cell_angle_gamma 90.00
loop_
_space_group_symop_operation_xyz
'x,y,z'
'-x,-y,-z'
'-x,-y,z'
'x,y,-z'
'x,-y,-z'
'-x,y,z'
'-x,y,-z'
'x,-y,z'
loop_
_atom_site_label
_atom_site_type_symbol
_atom_site_fract_x
_atom_site_fract_y
_atom_site_fract_z
Zn1 Zn 0.000 0.000 0.000
Fe1 Fe 0.000 0.500 0.500
Fe2 Fe 0.500 0.500 0.000
Se1 Se 0.500 0.000 0.500
```

=====

Record 2
# ZnFe2Se

A relaxed structure of ZnFe2Se (PBE-GGA, Alexandria).

Cell and atoms, written as CIF:
```
data_ZnFe2Se
_space_group_name_H-M_alt 'I m m 2'
_space_group_IT_number 44
_cell_length_a 2.818
_cell_length_b 4.083
_cell_length_c 10.475
_cell_angle_alpha 90.00
_cell_angle_beta 90.00
_cell_angle_gamma 90.00
loop_
_space_group_symop_operation_xyz
'x,y,z'
'-x,-y,z'
'-x,y,z'
'x,-y,z'
'x+1/2,y+1/2,z+1/2'
'-x+1/2,-y+1/2,z+1/2'
'-x+1/2,y+1/2,z+1/2'
'x+1/2,-y+1/2,z+1/2'
loop_
_atom_site_label
_atom_site_type_symbol
_atom_site_fract_x
_atom_site_fract_y
_atom_site_fract_z
Zn1 Zn 0.000 0.000 0.000
Fe1 Fe 0.000 0.000 0.545
Fe2 Fe 0.000 0.500 0.844
Se1 Se 0.000 0.500 0.232
```

=====

We obtain ΔE_f (raw) values of 0.252; 0.160 eV/atom for the records listed above, in that order.
We obtain M_tot values of 5.15; 4.77 μB/f.u. for the records listed above, in that order.
We obtain ΔE to the lowest computed polymorph values of 0.71; 0.34 eV per formula unit for the records listed above, in that order.